(1)
# ScCr3 | the Alexandria database | PBE | relaxed
data_ScCr3
_symmetry_space_group_name_H-M 'P 1'
_symmetry_Int_Tables_number 1
_symmetry_space_group_name_Hall 'P 1'
_cell_length_a 2.974
_cell_length_b 2.974
_cell_length_c 8.003
_cell_angle_alpha 90.00
_cell_angle_beta 90.00
_cell_angle_gamma 120.00
loop_
_atom_site_label
_atom_site_type_symbol
_atom_site_fract_x
_atom_site_fract_y
_atom_site_fract_z
Sc1 Sc 0.000 0.000 0.000
Cr1 Cr 0.000 0.000 0.500
Cr2 Cr 0.667 0.333 0.287
Cr3 Cr 0.667 0.333 0.713
# **Uncorrected energy**: -8.30 eV/atom
# **SG**: P-6m2, No. 187
# **Spin magnetization**: 2.15 μB per formula unit
# **Crystal system**: hexagonal
# **Energy of formation**: 501 meV per atom

***

(2)
# Ta2PtBr | the Alexandria database | PBE | relaxed
data_Ta2PtBr
_symmetry_space_group_name_H-M 'P 1'
_symmetry_Int_Tables_number 1
_symmetry_space_group_name_Hall 'P 1'
_cell_length_a 4.620
_cell_length_b 4.620
_cell_length_c 4.620
_cell_angle_alpha 60.00
_cell_angle_beta 60.00
_cell_angle_gamma 60.00
loop_
_atom_site_label
_atom_site_type_symbol
_atom_site_fract_x
_atom_site_fract_y
_atom_site_fract_z
Ta1 Ta 0.250 0.250 0.250
Ta2 Ta 0.750 0.750 0.750
Pt1 Pt 0.000 0.000 0.000
Br1 Br 0.500 0.500 0.500
# **Uncorrected energy**: -7.64 eV/atom
# **SG**: Fm-3m, No. 225
# **Spin magnetization**: 0.00 μB per formula unit
# **Relative energy among the computed polymorphs**: 296 meV per atom
# **Crystal system**: cubic

***

(3)
# ZrSc2AgCl | the Alexandria database | PBE | relaxed
data_ZrSc2AgCl
_symmetry_space_group_name_H-M 'P 1'
_symmetry_Int_Tables_number 1
_symmetry_space_group_name_Hall 'P 1'
_cell_length_a 5.345
_cell_length_b 5.345
_cell_length_c 4.865
_cell_angle_alpha 90.00
_cell_angle_beta 90.00
_cell_angle_gamma 90.00
loop_
_atom_site_label
_atom_site_type_symbol
_atom_site_fract_x
_atom_site_fract_y
_atom_site_fract_z
Zr1 Zr 0.000 0.000 0.000
Sc1 Sc 0.000 0.500 0.000
Sc2 Sc 0.500 0.000 0.000
Ag1 Ag 0.500 0.500 0.500
Cl1 Cl 0.000 0.000 0.500
# **Uncorrected energy**: -4.71 eV/atom
# **SG**: P4/mmm, No. 123
# **Spin magnetization**: 0.00 μB per formula unit
# **Crystal system**: tetragonal

***

(4)
# Ac3Cd2Ge2Pt4 | the Alexandria database | PBE | relaxed
data_Ac3Cd2Ge2Pt4
_symmetry_space_group_name_H-M 'P 1'
_symmetry_Int_Tables_number 1
_symmetry_space_group_name_Hall 'P 1'
_cell_length_a 4.477
_cell_length_b 4.477
_cell_length_c 15.958
_cell_angle_alpha 90.00
_cell_angle_beta 90.00
_cell_angle_gamma 120.00
loop_
_atom_site_label
_atom_site_type_symbol
_atom_site_fract_x
_atom_site_fract_y
_atom_site_fract_z
Ac1 Ac 0.000 0.000 0.000
Ac2 Ac 0.000 0.000 0.271
Ac3 Ac 0.000 0.000 0.729
Cd1 Cd 0.333 0.667 0.556
Cd2 Cd 0.667 0.333 0.444
Ge1 Ge 0.333 0.667 0.135
Ge2 Ge 0.667 0.333 0.865
Pt1 Pt 0.333 0.667 0.377
Pt2 Pt 0.333 0.667 0.863
Pt3 Pt 0.667 0.333 0.137
Pt4 Pt 0.667 0.333 0.623
# **Uncorrected energy**: -5.16 eV/atom
# **SG**: P-3m1, No. 164
# **Spin magnetization**: 0.00 μB per formula unit
# **Crystal system**: trigonal
# **Energy of formation**: -837 meV per atom

***

(5)
# Cr2Pt2Au | the Alexandria database | PBE | relaxed
data_Cr2Pt2Au
_symmetry_space_group_name_H-M 'P 1'
_symmetry_Int_Tables_number 1
_symmetry_space_group_name_Hall 'P 1'
_cell_length_a 7.498
_cell_length_b 7.498
_cell_length_c 2.679
_cell_angle_alpha 90.00
_cell_angle_beta 90.00
_cell_angle_gamma 90.00
loop_
_atom_site_label
_atom_site_type_symbol
_atom_site_fract_x
_atom_site_fract_y
_atom_site_fract_z
Cr1 Cr 0.169 0.331 0.000
Cr2 Cr 0.331 0.831 0.000
Cr3 Cr 0.669 0.169 0.000
Cr4 Cr 0.831 0.669 0.000
Pt1 Pt 0.128 0.628 0.500
Pt2 Pt 0.372 0.128 0.500
Pt3 Pt 0.628 0.872 0.500
Pt4 Pt 0.872 0.372 0.500
Au1 Au 0.000 0.000 0.500
Au2 Au 0.500 0.500 0.500
# **Uncorrected energy**: -6.85 eV/atom
# **SG**: P4/mbm, No. 127
# **Spin magnetization**: 0.00 μB per formula unit
# **Crystal system**: tetragonal
# **Energy of formation**: 70 meV per atom

***

(6)
# AcMgAgPd | the Alexandria database | PBE | relaxed
data_AcMgAgPd
_symmetry_space_group_name_H-M 'P 1'
_symmetry_Int_Tables_number 1
_symmetry_space_group_name_Hall 'P 1'
_cell_length_a 5.178
_cell_length_b 5.178
_cell_length_c 5.178
_cell_angle_alpha 60.00
_cell_angle_beta 60.00
_cell_angle_gamma 60.00
loop_
_atom_site_label
_atom_site_type_symbol
_atom_site_fract_x
_atom_site_fract_y
_atom_site_fract_z
Ac1 Ac 0.000 0.000 0.000
Mg1 Mg 0.500 0.500 0.500
Ag1 Ag 0.750 0.750 0.750
Pd1 Pd 0.250 0.250 0.250
# **Uncorrected energy**: -3.84 eV/atom
# **SG**: F-43m, No. 216
# **Spin magnetization**: 0.00 μB per formula unit
# **Relative energy among the computed polymorphs**: 114 meV per atom
# **Crystal system**: cubic
# **Energy of formation**: -404 meV per atom

***

(7)
# ZrPBr | the Alexandria database | PBE | relaxed
data_ZrPBr
_symmetry_space_group_name_H-M 'P 1'
_symmetry_Int_Tables_number 1
_symmetry_space_group_name_Hall 'P 1'
_cell_length_a 4.004
_cell_length_b 4.004
_cell_length_c 11.501
_cell_angle_alpha 99.85
_cell_angle_beta 99.85
_cell_angle_gamma 60.18
loop_
_atom_site_label
_atom_site_type_symbol
_atom_site_fract_x
_atom_site_fract_y
_atom_site_fract_z
Zr1 Zr 0.115 0.115 0.331
Zr2 Zr 0.885 0.885 0.669
P1 P 0.186 0.186 0.567
P2 P 0.814 0.814 0.433
Br1 Br 0.394 0.394 0.169
Br2 Br 0.606 0.606 0.831
# **Uncorrected energy**: -6.19 eV/atom
# **SG**: C2/m, No. 12
# **Spin magnetization**: 0.00 μB per formula unit
# **Relative energy among the computed polymorphs**: 0 meV per atom
# **Crystal system**: monoclinic

***

(8)
# Fe2ReSiIr | the Alexandria database | PBE | relaxed
data_Fe2ReSiIr
_symmetry_space_group_name_H-M 'P 1'
_symmetry_Int_Tables_number 1
_symmetry_space_group_name_Hall 'P 1'
_cell_length_a 4.085
_cell_length_b 4.085
_cell_length_c 4.327
_cell_angle_alpha 90.00
_cell_angle_beta 90.00
_cell_angle_gamma 90.00
loop_
_atom_site_label
_atom_site_type_symbol
_atom_site_fract_x
_atom_site_fract_y
_atom_site_fract_z
Fe1 Fe 0.000 0.500 0.000
Fe2 Fe 0.500 0.000 0.000
Re1 Re 0.000 0.000 0.500
Si1 Si 0.500 0.500 0.000
Ir1 Ir 0.500 0.500 0.500
# **Uncorrected energy**: -7.60 eV/atom
# **SG**: P4/mmm, No. 123
# **Spin magnetization**: 0.00 μB per formula unit
# **Crystal system**: tetragonal

***

(9)
# ScCdAg3 | the Alexandria database | PBE | relaxed
data_ScCdAg3
_symmetry_space_group_name_H-M 'P 1'
_symmetry_Int_Tables_number 1
_symmetry_space_group_name_Hall 'P 1'
_cell_length_a 4.906
_cell_length_b 6.061
_cell_length_c 7.068
_cell_angle_alpha 90.00
_cell_angle_beta 110.10
_cell_angle_gamma 90.00
loop_
_atom_site_label
_atom_site_type_symbol
_atom_site_fract_x
_atom_site_fract_y
_atom_site_fract_z
Sc1 Sc 0.110 0.250 0.220
Sc2 Sc 0.890 0.750 0.780
Cd1 Cd 0.128 0.750 0.257
Cd2 Cd 0.872 0.250 0.743
Ag1 Ag 0.314 0.504 0.627
Ag2 Ag 0.314 0.996 0.627
Ag3 Ag 0.497 0.250 0.993
Ag4 Ag 0.503 0.750 0.007
Ag5 Ag 0.686 0.004 0.373
Ag6 Ag 0.686 0.496 0.373
# **Uncorrected energy**: -3.26 eV/atom
# **SG**: P2_1/m, No. 11
# **Spin magnetization**: 0.00 μB per formula unit
# **Relative energy among the computed polymorphs**: 79 meV per atom
# **Crystal system**: monoclinic
# **Energy of formation**: -99 meV per atom

***

(10)
# SrCa2Ge4 | the Alexandria database | PBE | relaxed
data_SrCa2Ge4
_symmetry_space_group_name_H-M 'P 1'
_symmetry_Int_Tables_number 1
_symmetry_space_group_name_Hall 'P 1'
_cell_length_a 9.847
_cell_length_b 9.847
_cell_length_c 9.847
_cell_angle_alpha 155.79
_cell_angle_beta 152.88
_cell_angle_gamma 36.67
loop_
_atom_site_label
_atom_site_type_symbol
_atom_site_fract_x
_atom_site_fract_y
_atom_site_fract_z
Sr1 Sr 0.000 0.000 0.000
Ca1 Ca 0.183 0.683 0.500
Ca2 Ca 0.817 0.317 0.500
Ge1 Ge 0.347 0.847 0.500
Ge2 Ge 0.429 0.429 0.000
Ge3 Ge 0.571 0.571 0.000
Ge4 Ge 0.653 0.153 0.500
# **Uncorrected energy**: -4.02 eV/atom
# **SG**: Immm, No. 71
# **Spin magnetization**: 0.00 μB per formula unit
# **Crystal system**: orthorhombic
# **Energy of formation**: -574 meV per atom